# HfSnIrF2 | the Alexandria database | PBE | optimized geometry
# Density of states at the Fermi level: 0.34 states/eV/atom
# ΔE_f (raw): -8.72 eV per formula unit
data_HfSnIrF2
_chemical_formula_sum 'Hf1 Sn1 Ir1 F2'
_space_group_name_H-M_alt 'P 4/m m m'
_space_group_IT_number 123
_space_group_name_Hall '-P 4 2'
_cell_length_a 4.034
_cell_length_b 4.034
_cell_length_c 5.530
_cell_angle_alpha 90.00
_cell_angle_beta 90.00
_cell_angle_gamma 90.00
loop_
_atom_site_label
_atom_site_type_symbol
_atom_site_fract_x
_atom_site_fract_y
_atom_site_fract_z
_atom_site_occupancy
Hf1 Hf 0.000 0.000 0.000 1
Sn1 Sn 0.500 0.500 0.500 1
Ir1 Ir 0.000 0.000 0.500 1
F1 F 0.000 0.500 0.000 1